i) Below is a geometry-optimized Nb3SiSn structure, with properties calculated at the PBE-GGA level.

a b c (Å): 6.4538 6.4538 5.2742
angles (deg): 90.00 90.00 120.00
Space group P6_3/mmc (No. 194)
Unique sites:
Nb: 0.1910 0.3820 0.2500
Si: 0.0000 0.0000 0.0000
Sn: 0.3333 0.6667 0.7500

Output
Size of the total moment ... 0.0 μB/f.u.

=====

ii) Below is a geometry-optimized Nb3SiSn structure, with properties calculated at the PBE-GGA level.

a b c (Å): 4.696 4.696 4.696
angles (deg): 90.00 90.00 90.00
Space group Pm-3m (No. 221)
Unique sites:
Nb: 0.000 0.000 0.500
Si: 0.000 0.000 0.000
Sn: 0.500 0.500 0.500

Output
Size of the total moment ... 0.9 μB/f.u.

=====

iii) Below is a geometry-optimized Nb3SiSn structure, with properties calculated at the PBE-GGA level.

a b c (Å): 5.014 5.014 5.014
angles (deg): 90.00 90.00 90.00
Space group Pm-3m (No. 221)
Unique sites:
Nb: 0.000 0.000 0.500
Si: 0.500 0.500 0.500
Sn: 0.000 0.000 0.000

Output
Size of the total moment ... 0.0 μB/f.u.

=====

Which structure loses on stability? iii) does.

=====

i) Below is a geometry-optimized Nb2SiSn structure, with properties calculated at the PBE-GGA level.

a b c (Å): 3.6273 3.6273 20.3873
angles (deg): 90.00 90.00 120.00
Space group R3m (No. 160, hexagonal axes)
Unique sites:
Nb: 0.0000 0.0000 0.0000
Nb: 0.0000 0.0000 0.1972
Si: 0.0000 0.0000 0.5987
Sn: 0.0000 0.0000 0.7667

Output
Size of the total moment ... 0.0 μB/f.u.

=====

ii) Below is a geometry-optimized Nb2SiSn structure, with properties calculated at the PBE-GGA level.

a b c (Å): 6.593 6.593 6.593
angles (deg): 90.00 90.00 90.00
Space group Fm-3m (No. 225)
Unique sites:
Nb: 0.250 0.250 0.250
Si: 0.000 0.000 0.000
Sn: 0.000 0.000 0.500

Output
Size of the total moment ... 0.0 μB/f.u.

=====

iii) Below is a geometry-optimized Nb2SiSn structure, with properties calculated at the PBE-GGA level.

a b c (Å): 3.6422 3.6422 20.3856
angles (deg): 90.00 90.00 120.00
Space group R-3m (No. 166, hexagonal axes)
Unique sites:
Nb: 0.0000 0.0000 0.2336
Si: 0.0000 0.0000 0.5000
Sn: 0.0000 0.0000 0.0000

Output
Size of the total moment ... 0.0 μB/f.u.

=====

iv) Below is a geometry-optimized Nb2SiSn structure, with properties calculated at the PBE-GGA level.

a b c (Å): 3.987 3.987 19.714
angles (deg): 90.00 90.00 90.00
Space group I-42d (No. 122)
Unique sites:
Nb: 0.230 0.250 0.125
Si: 0.000 0.000 0.000
Sn: 0.000 0.000 0.500

Output
Size of the total moment ... 0.0 μB/f.u.

=====

Which structure loses on stability? iv) does.

=====

i) Below is a geometry-optimized NbSi3Sn structure, with properties calculated at the PBE-GGA level.

a b c (Å): 4.960 4.960 4.960
angles (deg): 90.00 90.00 90.00
Space group Pm-3m (No. 221)
Unique sites:
Nb: 0.000 0.000 0.000
Si: 0.000 0.500 0.500
Sn: 0.500 0.500 0.500

Output
Size of the total moment ... 0.0 μB/f.u.

=====

ii) Below is a geometry-optimized NbSi3Sn structure, with properties calculated at the PBE-GGA level.

a b c (Å): 4.909 4.909 4.909
angles (deg): 90.00 90.00 90.00
Space group Pm-3m (No. 221)
Unique sites:
Nb: 0.000 0.000 0.000
Si: 0.000 0.000 0.500
Sn: 0.500 0.500 0.500

Output
Size of the total moment ... 0.0 μB/f.u.

=====

Which structure loses on stability? i) does.

=====

i) Below is a geometry-optimized SrNb3Si structure, with properties calculated at the PBE-GGA level.

a b c (Å): 4.848 4.848 4.848
angles (deg): 90.00 90.00 90.00
Space group Pm-3m (No. 221)
Unique sites:
Sr: 0.000 0.000 0.000
Nb: 0.000 0.000 0.500
Si: 0.500 0.500 0.500

Output
Size of the total moment ... 0.0 μB/f.u.

=====

ii) Below is a geometry-optimized SrNb3Si structure, with properties calculated at the PBE-GGA level.

a b c (Å): 4.893 4.893 4.893
angles (deg): 90.00 90.00 90.00
Space group Pm-3m (No. 221)
Unique sites:
Sr: 0.000 0.000 0.000
Nb: 0.000 0.500 0.500
Si: 0.500 0.500 0.500

Output
Size of the total moment ... 0.0 μB/f.u.

=====

Which structure loses on stability? i) does.

=====

i) Below is a geometry-optimized SrNbSi2 structure, with properties calculated at the PBE-GGA level.

a b c (Å): 6.874 6.874 6.874
angles (deg): 90.00 90.00 90.00
Space group Fm-3m (No. 225)
Unique sites:
Sr: 0.000 0.000 0.000
Nb: 0.000 0.000 0.500
Si: 0.250 0.250 0.250

Output
Size of the total moment ... 2.1 μB/f.u.

=====

ii) Below is a geometry-optimized SrNbSi2 structure, with properties calculated at the PBE-GGA level.

a b c (Å): 5.144 5.144 16.958
angles (deg): 90.00 90.00 90.00
Space group I-42d (No. 122)
Unique sites:
Sr: 0.000 0.000 0.000
Nb: 0.000 0.000 0.500
Si: 0.001 0.250 0.625

Output
Size of the total moment ... 0.0 μB/f.u.

=====

Which structure loses on stability? i) does.

=====

i) Below is a geometry-optimized Ta3NbSi structure, with properties calculated at the PBE-GGA level.

a b c (Å): 4.639 4.639 4.639
angles (deg): 90.00 90.00 90.00
Space group Pm-3m (No. 221)
Unique sites:
Ta: 0.000 0.000 0.500
Nb: 0.500 0.500 0.500
Si: 0.000 0.000 0.000

Output
Size of the total moment ... 0.0 μB/f.u.

=====

ii) Below is a geometry-optimized Ta3NbSi structure, with properties calculated at the PBE-GGA level.

a b c (Å): 4.852 4.852 4.852
angles (deg): 90.00 90.00 90.00
Space group Pm-3m (No. 221)
Unique sites:
Ta: 0.000 0.000 0.500
Nb: 0.000 0.000 0.000
Si: 0.500 0.500 0.500

Output
Size of the total moment ... 0.0 μB/f.u.

=====

Which structure loses on stability? ii) does.

=====

i) Below is a geometry-optimized TaNbSi3 structure, with properties calculated at the PBE-GGA level.

a b c (Å): 4.680 4.680 4.680
angles (deg): 90.00 90.00 90.00
Space group Pm-3m (No. 221)
Unique sites:
Ta: 0.000 0.000 0.000
Nb: 0.500 0.500 0.500
Si: 0.000 0.500 0.500

Output
Size of the total moment ... 0.0 μB/f.u.

=====

ii) Below is a geometry-optimized TaNbSi3 structure, with properties calculated at the PBE-GGA level.

a b c (Å): 4.713 4.713 4.713
angles (deg): 90.00 90.00 90.00
Space group Pm-3m (No. 221)
Unique sites:
Ta: 0.000 0.000 0.000
Nb: 0.500 0.500 0.500
Si: 0.000 0.000 0.500

Output
Size of the total moment ... 0.0 μB/f.u.

=====

Which structure loses on stability? i) does.

=====

i) Below is a geometry-optimized NbSiTc structure, with properties calculated at the PBE-GGA level.

a b c (Å): 3.119 3.119 9.247
angles (deg): 90.00 90.00 90.00
Space group I4mm (No. 107)
Unique sites:
Nb: 0.000 0.000 0.000
Si: 0.000 0.000 0.316
Tc: 0.000 0.000 0.678

Output
Size of the total moment ... 0.0 μB/f.u.

=====

ii) Below is a geometry-optimized NbSiTc structure, with properties calculated at the PBE-GGA level.

a b c (Å): 3.249 14.799 3.807
angles (deg): 90.00 90.00 90.00
Space group Cmcm (No. 63)
Unique sites:
Nb: 0.000 0.098 0.250
Si: 0.000 0.451 0.250
Tc: 0.000 0.285 0.250

Output
Size of the total moment ... 0.0 μB/f.u.

=====

iii) Below is a geometry-optimized NbSiTc structure, with properties calculated at the PBE-GGA level.

a b c (Å): 6.933 11.646 6.739
angles (deg): 90.00 90.00 90.00
Space group Ima2 (No. 46)
Unique sites:
Nb: 0.250 0.003 0.000
Nb: 0.250 0.211 0.382
Nb: 0.250 0.697 0.886
Si: 0.003 0.668 0.587
Si: 0.250 0.022 0.600
Tc: 0.000 0.000 0.339
Tc: 0.031 0.626 0.216

Output
Size of the total moment ... 0.0 μB/f.u.

=====

Which structure loses on stability? ii) does.

=====

i) Below is a geometry-optimized NbSiTc3 structure, with properties calculated at the PBE-GGA level.

a b c (Å): 4.719 4.719 4.719
angles (deg): 90.00 90.00 90.00
Space group Pm-3m (No. 221)
Unique sites:
Nb: 0.000 0.000 0.000
Si: 0.500 0.500 0.500
Tc: 0.000 0.000 0.500

Output
Size of the total moment ... 2.7 μB/f.u.

=====

ii) Below is a geometry-optimized NbSiTc3 structure, with properties calculated at the PBE-GGA level.

a b c (Å): 4.376 4.376 4.376
angles (deg): 90.00 90.00 90.00
Space group Pm-3m (No. 221)
Unique sites:
Nb: 0.000 0.000 0.000
Si: 0.500 0.500 0.500
Tc: 0.000 0.500 0.500

Output
Size of the total moment ... 0.0 μB/f.u.

=====

Which structure loses on stability? i) does.

=====

i) Below is a geometry-optimized NbSi3Tc structure, with properties calculated at the PBE-GGA level.

a b c (Å): 4.782 4.782 4.782
angles (deg): 90.00 90.00 90.00
Space group Pm-3m (No. 221)
Unique sites:
Nb: 0.000 0.000 0.000
Si: 0.000 0.000 0.500
Tc: 0.500 0.500 0.500

Output
Size of the total moment ... 4.1 μB/f.u.

=====

ii) Below is a geometry-optimized NbSi3Tc structure, with properties calculated at the PBE-GGA level.

a b c (Å): 4.596 4.596 4.596
angles (deg): 90.00 90.00 90.00
Space group Pm-3m (No. 221)
Unique sites:
Nb: 0.000 0.000 0.000
Si: 0.000 0.500 0.500
Tc: 0.500 0.500 0.500

Output
Size of the total moment ... 3.5 μB/f.u.

=====

Which structure loses on stability? i) does.

=====

i) Below is a geometry-optimized Nb3SiTc structure, with properties calculated at the PBE-GGA level.

a b c (Å): 4.773 4.773 4.773
angles (deg): 90.00 90.00 90.00
Space group Pm-3m (No. 221)
Unique sites:
Nb: 0.000 0.000 0.500
Si: 0.500 0.500 0.500
Tc: 0.000 0.000 0.000

Output
Size of the total moment ... 0.0 μB/f.u.

=====

ii) Below is a geometry-optimized Nb3SiTc structure, with properties calculated at the PBE-GGA level.

a b c (Å): 4.606 4.606 4.606
angles (deg): 90.00 90.00 90.00
Space group Pm-3m (No. 221)
Unique sites:
Nb: 0.000 0.000 0.500
Si: 0.000 0.000 0.000
Tc: 0.500 0.500 0.500

Output
Size of the total moment ... 0.6 μB/f.u.

=====

Which structure loses on stability? i) does.

=====

i) Below is a geometry-optimized NbSi2Tc structure, with properties calculated at the PBE-GGA level.

a b c (Å): 4.0429 4.0429 12.7509
angles (deg): 90.00 90.00 120.00
Space group R-3m (No. 166, hexagonal axes)
Unique sites:
Nb: 0.0000 0.0000 0.0000
Si: 0.0000 0.0000 0.2257
Tc: 0.0000 0.0000 0.5000

Output
Size of the total moment ... 0.0 μB/f.u.

=====

ii) Below is a geometry-optimized NbSi2Tc structure, with properties calculated at the PBE-GGA level.

a b c (Å): 6.140 6.140 6.140
angles (deg): 90.00 90.00 90.00
Space group Fm-3m (No. 225)
Unique sites:
Nb: 0.000 0.000 0.000
Si: 0.250 0.250 0.250
Tc: 0.000 0.000 0.500

Output
Size of the total moment ... 0.0 μB/f.u.

=====

Which structure loses on stability? ii) does.